Entry from Alexandria via LeMat-Bulk: an optimized crystal structure of TmIn3Pd6 (PBE-GGA).

Computed properties:
- Calculated formation energy: -544 meV/atom
- Energy above the lowest structure with this stoichiometry: 0.081 eV/atom
- Crystal system: orthorhombic
- Density: 9.87 g cm⁻³
- SG: Cmc2_1

abc: 5.6152 8.7088 8.7088
angles: 114.47 90.00 90.00
Last column: nearest neighbours and their distance in Å.
Fractional positions:
Pd (0.5560, 0.6596, 0.8211)  4 In 2.72-2.93, 4 Pd 2.83-3.04, 1 Tm 2.96
Pd (0.0560, 0.3404, 0.1789)  4 In 2.72-2.93, 4 Pd 2.83-3.04, 1 Tm 2.96
Pd (0.7992, 0.9993, 0.0007)  4 In 2.73-2.74, 4 Pd 2.81-3.04
Pd (0.5254, 0.2885, 0.7115)  6 Pd 2.80-2.97, 1 In 2.85, 1 Tm 2.95
Pd (0.2990, 0.5074, 0.0076)  2 In 2.65-2.67, 6 Pd 2.80-2.87, 2 Tm 2.84-2.89
Pd (0.2992, 0.0007, 0.9993)  4 In 2.73-2.74, 4 Pd 2.81-3.04
Pd (0.7990, 0.0076, 0.5074)  2 In 2.65-2.67, 6 Pd 2.80-2.87, 2 Tm 2.84-2.89
Pd (0.0560, 0.8211, 0.6596)  4 In 2.72-2.93, 4 Pd 2.83-3.04, 1 Tm 2.96
Pd (0.7990, 0.4926, 0.9924)  2 In 2.65-2.67, 6 Pd 2.80-2.87, 2 Tm 2.84-2.89
Pd (0.0254, 0.7115, 0.2885)  6 Pd 2.80-2.97, 1 In 2.85, 1 Tm 2.95
Pd (0.2990, 0.9924, 0.4926)  2 In 2.65-2.67, 6 Pd 2.80-2.87, 2 Tm 2.84-2.89
Pd (0.5560, 0.1789, 0.3404)  4 In 2.72-2.93, 4 Pd 2.83-3.04, 1 Tm 2.96
Tm (0.0605, 0.1944, 0.8056)  8 Pd 2.84-3.14
Tm (0.5605, 0.8056, 0.1944)  8 Pd 2.84-3.14
In (0.0493, 0.0941, 0.2943)  7 Pd 2.65-2.93
In (0.2915, 0.4614, 0.5386)  3 Pd 2.78-2.85, 2 In 3.03
In (0.5493, 0.2943, 0.0941)  7 Pd 2.65-2.93
In (0.5493, 0.9059, 0.7057)  7 Pd 2.65-2.93
In (0.0493, 0.7057, 0.9059)  7 Pd 2.65-2.93
In (0.7915, 0.5386, 0.4614)  3 Pd 2.78-2.85, 2 In 3.03